Record 1
The following is a DFT calculation (PBE-GGA) of LiMnW2 after structural relaxation.

Lattice parameters (Å, degrees): 4.3493 4.3493 4.3493 60.00 60.00 60.00
Each line ends with the local moment (μB).
Fractional positions:
Li (0.5000, 0.5000, 0.5000)  -0.01
Mn (0.7500, 0.7500, 0.7500)  2.66
W (0.0000, 0.0000, 0.0000)  -0.34
W (0.2500, 0.2500, 0.2500)  0.40

Properties
Density of states at the Fermi level   3.4 states/eV per cell
E   -35.23 eV/cell
Energy relative to the lowest polymorph listed for this composition   107 meV/atom
Crystal system   cubic
ΔH_f (0 K)   0.440 eV per atom

=====

Record 2
The following is a DFT calculation (PBE-GGA) of TbThScTc after structural relaxation.

Lattice parameters (Å, degrees): 5.1291 5.1291 5.1291 60.00 60.00 60.00
Fractional positions:
Sc (0.0000, 0.0000, 0.0000)
Tb (0.2500, 0.2500, 0.2500)
Tc (0.5000, 0.5000, 0.5000)
Th (0.7500, 0.7500, 0.7500)

Properties
Density of states at the Fermi level   5.9 states/eV per cell
E   -28.41 eV/cell
Crystal system   cubic
ΔH_f (0 K)   0.084 eV per atom

=====

Record 3
The following is a DFT calculation (PBE-GGA) of HgMoW2 after structural relaxation.

Lattice parameters (Å, degrees): 5.0184 5.0184 5.0184 132.56 132.56 69.35
Fractional positions:
Hg (0.2500, 0.7500, 0.5000)
Mo (0.7500, 0.2500, 0.5000)
W (0.0000, 0.0000, 0.0000)
W (0.5000, 0.5000, 0.0000)

Properties
Density of states at the Fermi level   2.7 states/eV per cell
E   -34.61 eV/cell
Crystal system   tetragonal
ΔH_f (0 K)   0.608 eV per atom

=====

Record 4
The following is a DFT calculation (PBE-GGA) of ScOsSe2Br after structural relaxation.

Lattice parameters (Å, degrees): 5.1822 5.1822 5.0762 90.00 90.00 90.00
Each line ends with the local moment (μB).
Fractional positions:
Sc (0.0000, 0.0000, 0.0000)  0.04
Os (0.5000, 0.5000, 0.5000)  3.37
Se (0.0000, 0.5000, 0.0000)  0.09
Se (0.5000, 0.0000, 0.0000)  0.09
Br (0.0000, 0.0000, 0.5000)  0.08

Properties
Energy relative to the elements, uncorrected   0.60 eV/atom
Density of states at the Fermi level   5.2 states/eV per cell
E   -23.18 eV/cell
Energy relative to the lowest polymorph listed for this composition   355 meV/atom
Crystal system   tetragonal

=====

Record 5
The following is a DFT calculation (PBE-GGA) of CsCa2TaAu after structural relaxation.

Lattice parameters (Å, degrees): 5.7545 5.9149 5.7545 90.00 90.00 90.00
Each line ends with the local moment (μB).
Fractional positions:
Cs (0.0000, 0.5000, 0.0000)  0.06
Ca (0.0000, 0.0000, 0.5000)  0.03
Ca (0.5000, 0.0000, 0.0000)  0.03
Au (0.5000, 0.5000, 0.5000)  0.00
Ta (0.0000, 0.0000, 0.0000)  0.73

Properties
Density of states at the Fermi level   4.8 states/eV per cell
E   -13.91 eV/cell
Crystal system   tetragonal
ΔH_f (0 K)   1.215 eV per atom

=====

Record 6
The following is a DFT calculation (PBE-GGA) of Zr2ZnSi after structural relaxation.

Lattice parameters (Å, degrees): 3.8092 3.8352 5.4430 69.38 90.00 90.00
Fractional positions:
Si (0.0000, 0.7024, 0.4705)
Zn (0.5000, 0.5488, 0.7775)
Zr (0.0000, 0.9777, 0.9193)
Zr (0.5000, 0.2710, 0.3327)

Properties
Energy relative to the elements, uncorrected   -0.61 eV/atom
Density of states at the Fermi level   2.5 states/eV per cell
E   -26.24 eV/cell
Crystal system   orthorhombic

=====

Record 7
The following is a DFT calculation (PBE-GGA) of TiFe2Se2 after structural relaxation.

Lattice parameters (Å, degrees): 6.8608 6.8608 3.2836 90.00 90.00 90.00
Each line ends with the local moment (μB).
Fractional positions:
Fe (0.1290, 0.6290, 0.5000)  2.47
Fe (0.6290, 0.8710, 0.5000)  2.46
Fe (0.8710, 0.3710, 0.5000)  2.47
Fe (0.3710, 0.1290, 0.5000)  2.47
Se (0.3319, 0.8319, 0.0000)  0.04
Se (0.8319, 0.6681, 0.0000)  0.04
Se (0.6681, 0.1681, 0.0000)  0.04
Se (0.1681, 0.3319, 0.0000)  0.04
Ti (0.0000, 0.0000, 0.0000)  -0.68
Ti (0.5000, 0.5000, 0.0000)  -0.68

Properties
Energy relative to the elements, uncorrected   -0.10 eV/atom
Density of states at the Fermi level   10.8 states/eV per cell
E   -64.60 eV/cell
Energy relative to the lowest polymorph listed for this composition   0 meV/atom
Crystal system   tetragonal

=====

Record 8
The following is a DFT calculation (PBE-GGA) of Ca2TmF after structural relaxation.

Lattice parameters (Å, degrees): 3.5630 3.5630 10.1118 79.85 79.85 60.00
Each line ends with the local moment (μB).
Fractional positions:
Ca (0.1125, 0.1125, 0.6624)  0.11
Ca (0.8875, 0.8875, 0.3376)  0.11
Tm (0.0000, 0.0000, 0.0000)  -0.30
F (0.5000, 0.5000, 0.5000)  0.01

Properties
Energy relative to the elements, uncorrected   -0.98 eV/atom
Density of states at the Fermi level   4.8 states/eV per cell
E   -14.28 eV/cell
Crystal system   trigonal

=====

Record 9
The following is a DFT calculation (PBE-GGA) of TcOs2CO after structural relaxation.

Lattice parameters (Å, degrees): 4.7579 3.8395 4.7579 90.00 90.00 90.00
Each line ends with the local moment (μB).
Fractional positions:
C (0.0000, 0.5000, 0.0000)  0.07
Os (0.0000, 0.0000, 0.5000)  1.32
Os (0.5000, 0.0000, 0.0000)  1.40
Tc (0.0000, 0.0000, 0.0000)  -0.07
O (0.5000, 0.5000, 0.5000)  0.44

Properties
Energy relative to the elements, uncorrected   2.67 eV/atom
Density of states at the Fermi level   6.2 states/eV per cell
E   -33.66 eV/cell
Crystal system   tetragonal

=====

Record 10
The following is a DFT calculation (PBE-GGA) of AlP3Rh after structural relaxation.

Lattice parameters (Å, degrees): 4.6160 4.6160 4.6160 90.00 90.00 90.00
Fractional positions:
P (0.0000, 0.5000, 0.0000)
P (0.0000, 0.0000, 0.5000)
P (0.5000, 0.0000, 0.0000)
Rh (0.0000, 0.0000, 0.0000)
Al (0.5000, 0.5000, 0.5000)

Properties
Density of states at the Fermi level   6.8 states/eV per cell
E   -23.93 eV/cell
Energy relative to the lowest polymorph listed for this composition   0 meV/atom
Crystal system   cubic
ΔH_f (0 K)   0.678 eV per atom

=====

Record 11
The following is a DFT calculation (PBE-GGA) of CeTlCuPt after structural relaxation.

Lattice parameters (Å, degrees): 4.8854 4.8854 4.8854 60.00 60.00 60.00
Each line ends with the local moment (μB).
Fractional positions:
Tl (0.5000, 0.5000, 0.5000)  0.00
Cu (0.7500, 0.7500, 0.7500)  0.00
Ce (0.0000, 0.0000, 0.0000)  0.16
Pt (0.2500, 0.2500, 0.2500)  0.00

Properties
Density of states at the Fermi level   5.4 states/eV per cell
E   -20.01 eV/cell
Crystal system   cubic
ΔH_f (0 K)   -0.394 eV per atom

=====

Record 12
The following is a DFT calculation (PBE-GGA) of YRhPb after structural relaxation.

Lattice parameters (Å, degrees): 6.0081 5.7613 5.7615 73.11 58.36 58.36
Fractional positions:
Y (0.9608, 0.7675, 0.9549)
Y (0.4608, 0.2680, 0.4545)
Rh (0.4610, 0.2676, 0.9546)
Rh (0.9610, 0.2676, 0.9546)
Pb (0.2105, 0.9333, 0.2898)
Pb (0.7105, 0.6028, 0.6203)

Properties
Density of states at the Fermi level   2.9 states/eV per cell
E   -38.00 eV/cell
Crystal system   monoclinic
ΔH_f (0 K)   -0.493 eV per atom